# 1
# SrLi2Tl3

Crystalline SrLi2Tl3 at its relaxed geometry (GGA-PBE, the Alexandria database).

Unit cell a=4.9262 b=4.9262 c=15.2291 alpha=90.00 beta=90.00 gamma=120.00
Last column: nearest neighbours and their distance in Å.
Positions (direct):
Tl: 0.0000 0.0000 0.0000  6 Li 3.04
Tl: 0.3333 0.6667 0.3756  4 Li 2.96
Tl: 0.6667 0.3333 0.6244  4 Li 2.96
Tl: 0.6667 0.3333 0.8756  4 Li 2.96
Tl: 0.0000 0.0000 0.5000  6 Li 3.04
Tl: 0.3333 0.6667 0.1244  4 Li 2.96
Sr: 0.0000 0.0000 0.2500  8 Tl 3.43-3.81
Sr: 0.0000 0.0000 0.7500  8 Tl 3.43-3.81
Li: 0.6667 0.3333 0.0699  7 Tl 2.96-3.04
Li: 0.6667 0.3333 0.4301  7 Tl 2.96-3.04
Li: 0.3333 0.6667 0.9301  7 Tl 2.96-3.04
Li: 0.3333 0.6667 0.5699  7 Tl 2.96-3.04

- space-group type = P6_3/mmc, No. 194
- total energy (eV/cell) = -28.3
- V (Å³/atom) = 26.67
- E_form (kJ per mole of atoms) = -25

***

# 2
# Sr2MgCd3

Crystalline Sr2MgCd3 at its relaxed geometry (GGA-PBE, the Alexandria database).

Unit cell a=6.5137 b=6.5137 c=9.8075 alpha=104.76 beta=104.76 gamma=103.46
Last column: nearest neighbours and their distance in Å.
Positions (direct):
Cd: 0.6657 0.1673 0.8330  1 Mg 2.95, 2 Cd 2.97-2.99
Cd: 0.8326 0.8326 0.6651  1 Mg 2.96, 2 Cd 2.97
Cd: 0.3343 0.8327 0.1670  1 Mg 2.95, 2 Cd 2.97-2.99
Cd: 0.8327 0.3343 0.1670  1 Mg 2.95, 2 Cd 2.97-2.99
Cd: 0.1674 0.1674 0.3349  1 Mg 2.96, 2 Cd 2.97
Cd: 0.1673 0.6657 0.8330  1 Mg 2.95, 2 Cd 2.97-2.99
Sr: 0.7526 0.7526 0.0000  10 Cd 3.58-3.60, 2 Mg 3.61, 1 Sr 3.99
Sr: 0.2474 0.2474 0.0000  10 Cd 3.58-3.60, 2 Mg 3.61, 1 Sr 3.99
Sr: 0.7500 0.2500 0.5000  8 Cd 3.58-3.60, 4 Mg 3.58
Sr: 0.2500 0.7500 0.5000  8 Cd 3.58-3.60, 4 Mg 3.58
Mg: 0.6669 0.6669 0.3338  3 Cd 2.95-2.96
Mg: 0.3331 0.3331 0.6662  3 Cd 2.95-2.96

- space-group type = Fmmm, No. 69
- polymorph energy (0 for the lowest one) (kJ/mol of atoms) = 1.1
- total energy (eV/cell) = -18.6
- V (Å³/atom) = 30.74
- E_form (kJ per mole of atoms) = -26

***

- Among the records above, which one has the highest E_form?
  SrLi2Tl3

***

What did the first record say?
# SrLi2Tl3

Crystalline SrLi2Tl3 at its relaxed geometry (GGA-PBE, the Alexandria database).

Unit cell a=4.9262 b=4.9262 c=15.2291 alpha=90.00 beta=90.00 gamma=120.00
Last column: nearest neighbours and their distance in Å.
Positions (direct):
Tl: 0.0000 0.0000 0.0000  6 Li 3.04
Tl: 0.3333 0.6667 0.3756  4 Li 2.96
Tl: 0.6667 0.3333 0.6244  4 Li 2.96
Tl: 0.6667 0.3333 0.8756  4 Li 2.96
Tl: 0.0000 0.0000 0.5000  6 Li 3.04
Tl: 0.3333 0.6667 0.1244  4 Li 2.96
Sr: 0.0000 0.0000 0.2500  8 Tl 3.43-3.81
Sr: 0.0000 0.0000 0.7500  8 Tl 3.43-3.81
Li: 0.6667 0.3333 0.0699  7 Tl 2.96-3.04
Li: 0.6667 0.3333 0.4301  7 Tl 2.96-3.04
Li: 0.3333 0.6667 0.9301  7 Tl 2.96-3.04
Li: 0.3333 0.6667 0.5699  7 Tl 2.96-3.04

- space-group type = P6_3/mmc, No. 194
- total energy (eV/cell) = -28.3
- V (Å³/atom) = 26.67
- E_form (kJ per mole of atoms) = -25

***

- total energy of number 1 (SrLi2Tl3)?
  -28.3 eV/cell

***

- Look up the V of the first one.
  26.67 Å³/atom